# PBE with a Hubbard U Ba2DyCoO5, optimized geometry
# - V (Å³ per atom) = 17.46
# - raw total energy (eV/atom) = -6.65
data_Ba2DyCoO5
_symmetry_space_group_name_H-M 'C m c 21'
_symmetry_Int_Tables_number 36
_cell_length_a 3.5618
_cell_length_b 14.8729
_cell_length_c 11.8635
_cell_angle_alpha 90.00
_cell_angle_beta 90.00
_cell_angle_gamma 90.00
loop_
_symmetry_equiv_pos_as_xyz
'x,y,z'
'-x,-y,z+1/2'
'-x,y,z'
'x,-y,z+1/2'
'x+1/2,y+1/2,z'
'-x+1/2,-y+1/2,z+1/2'
'-x+1/2,y+1/2,z'
'x+1/2,-y+1/2,z+1/2'
loop_
_atom_site_label
_atom_site_type_symbol
_atom_site_fract_x
_atom_site_fract_y
_atom_site_fract_z
Ba1 Ba 0.0000 0.0981 0.0000
Ba2 Ba 0.0000 0.1427 0.6778
Dy1 Dy 0.0000 0.1995 0.3855
Co1 Co 0.0000 0.4448 0.7615
O1 O 0.0000 0.0392 0.3361
O2 O 0.0000 0.2890 0.0050
O3 O 0.0000 0.3202 0.7556
O4 O 0.0000 0.3420 0.3513
O5 O 0.0000 0.4944 0.1299